Material: LaNbRe2P
Method: DFT, SCAN
State: single point on PBEsol structure

Cell lengths 4.8177, 4.8177, 4.7532 Å; angles 90.00, 90.00, 90.00 degrees
Space group P4/mmm (No. 123)
Inequivalent atoms, fractional coordinates:
La 0.0000 0.0000 0.0000 [1 per cell]
Nb 0.5000 0.5000 0.5000 [1 per cell]
Re 0.0000 0.5000 0.5000 [2 per cell]
P 0.5000 0.5000 0.0000 [1 per cell]

## Properties
DOS at the Fermi energy: 6.263 states/eV per cell
calculated formation energy: 95.9 kJ/mol of atoms
crystal system: tetragonal
calculated density: 9.56 g/cm³
DFT total energy: -44.77 eV/atom
spin magnetization: 1.2 μB/cell

=====

Material: LaNbP2Ru
Method: DFT, SCAN
State: single point on PBEsol structure

Cell lengths 5.0950, 5.0950, 4.6149 Å; angles 90.00, 90.00, 90.00 degrees
Space group P4/mmm (No. 123)
Inequivalent atoms, fractional coordinates:
La 0.0000 0.0000 0.0000 [1 per cell]
Nb 0.5000 0.5000 0.5000 [1 per cell]
P 0.0000 0.5000 0.0000 [2 per cell]
Ru 0.0000 0.0000 0.5000 [1 per cell]

## Properties
DOS at the Fermi energy: 5.405 states/eV per cell
calculated formation energy: 157.2 kJ/mol of atoms
crystal system: tetragonal
calculated density: 5.47 g/cm³
DFT total energy: -24.74 eV/atom
spin magnetization: 1.1 μB/cell

=====

Material: LaNb2Pb2
Method: DFT, SCAN
State: single point on PBEsol structure

Cell lengths 4.2236, 4.2236, 13.6833 Å; angles 90.00, 90.00, 90.00 degrees
Space group I4/mmm (No. 139)
Inequivalent atoms, fractional coordinates:
La 0.0000 0.0000 0.0000 [2 per cell]
Nb 0.0000 0.5000 0.2500 [4 per cell]
Pb 0.0000 0.0000 0.3920 [4 per cell]

## Properties
DOS at the Fermi energy: 3.546 states/eV per cell
calculated formation energy: -26.1 kJ/mol of atoms
crystal system: tetragonal
calculated density: 10.06 g/cm³
DFT total energy: -52.46 eV/atom
spin magnetization: 0.0 μB/cell

=====

Material: LaNbPd3
Method: DFT, SCAN
State: single point on PBEsol structure

Cell lengths 4.9652, 4.9652, 4.9652 Å; angles 90.00, 90.00, 90.00 degrees
Space group Pm-3m (No. 221)
Inequivalent atoms, fractional coordinates:
La 0.0000 0.0000 0.0000 [1 per cell]
Nb 0.5000 0.5000 0.5000 [1 per cell]
Pd 0.0000 0.0000 0.5000 [3 per cell]

## Properties
DOS at the Fermi energy: 2.882 states/eV per cell
calculated formation energy: 96.4 kJ/mol of atoms
crystal system: cubic
calculated density: 7.48 g/cm³
DFT total energy: -33.91 eV/atom
spin magnetization: 3.9 μB/cell

=====

Material: La3NbPd
Method: DFT, SCAN
State: single point on PBEsol structure

Cell lengths 5.4263, 5.4263, 5.4263 Å; angles 90.00, 90.00, 90.00 degrees
Space group Pm-3m (No. 221)
Inequivalent atoms, fractional coordinates:
La 0.0000 0.0000 0.5000 [3 per cell]
Nb 0.0000 0.0000 0.0000 [1 per cell]
Pd 0.5000 0.5000 0.5000 [1 per cell]

## Properties
DOS at the Fermi energy: 3.601 states/eV per cell
calculated formation energy: 37.0 kJ/mol of atoms
crystal system: cubic
calculated density: 6.40 g/cm³
DFT total energy: -38.66 eV/atom
spin magnetization: 0.0 μB/cell

=====

Material: LaNbPdRu2
Method: DFT, SCAN
State: single point on PBEsol structure

Cell lengths 4.7816, 4.7816, 4.9743 Å; angles 90.00, 90.00, 90.00 degrees
Space group P4/mmm (No. 123)
Inequivalent atoms, fractional coordinates:
La 0.0000 0.0000 0.0000 [1 per cell]
Nb 0.5000 0.5000 0.0000 [1 per cell]
Pd 0.0000 0.0000 0.5000 [1 per cell]
Ru 0.0000 0.5000 0.5000 [2 per cell]

## Properties
DOS at the Fermi energy: 5.357 states/eV per cell
calculated formation energy: 134.6 kJ/mol of atoms
crystal system: tetragonal
calculated density: 7.89 g/cm³
DFT total energy: -34.34 eV/atom
spin magnetization: 0.2 μB/cell